Entry 1:
The following is a PBE calculation of a geometry-optimized HgIBr6 structure, from Alexandria.

Space group: C2/m
DOS at the Fermi energy (states/eV/cell): 7.83

Unit cell a=8.451 b=6.638 c=6.638 alpha=65.95 beta=93.36 gamma=86.64
Positions (direct):
1 Br 0.191 0.690 0.011
2 Br 0.191 0.031 0.351
3 Hg 0.500 0.021 0.021
4 Br 0.809 0.011 0.690
5 Br 0.342 0.327 0.715
6 Br 0.658 0.715 0.327
7 I 0.000 0.021 0.021
8 Br 0.809 0.351 0.031

---

Entry 2:
The following is a PBE calculation of a geometry-optimized Hg12I3Br5 structure, from Alexandria.

Space group: Ia-3d
DOS at the Fermi energy (states/eV/cell): 49.62

Unit cell a=16.157 b=16.157 c=16.157 alpha=109.47 beta=109.47 gamma=109.47
Positions (direct):
1 Hg 0.861 0.046 0.575
2 I 0.750 0.375 0.125
3 I 0.875 0.750 0.125
4 Br 0.375 0.125 0.750
5 Hg 0.075 0.361 0.046
6 Hg 0.315 0.786 0.361
7 Hg 0.315 0.529 0.454
8 Hg 0.185 0.139 0.714
9 Br 0.500 0.500 0.000
10 Hg 0.471 0.786 0.925
11 Br 0.375 0.250 0.125
12 Hg 0.361 0.075 0.546
13 Br 0.875 0.625 0.750
14 Br 0.750 0.125 0.875
15 Hg 0.029 0.454 0.815
16 Br 0.250 0.875 0.125
17 Hg 0.529 0.214 0.075
18 Hg 0.685 0.471 0.546
19 Br 0.250 0.375 0.625
20 Hg 0.139 0.954 0.425
21 Hg 0.361 0.286 0.315
22 Hg 0.425 0.454 0.139
23 Br 0.875 0.250 0.625
24 Br 0.000 0.000 0.000
25 I 0.625 0.250 0.375
26 Hg 0.286 0.361 0.815
27 Hg 0.214 0.685 0.139
28 I 0.125 0.875 0.750
29 I 0.375 0.750 0.625
30 Br 0.125 0.750 0.375
31 Hg 0.639 0.714 0.685
32 Br 0.500 0.500 0.500
33 Br 0.125 0.375 0.250
34 Hg 0.529 0.315 0.954
35 I 0.875 0.125 0.250
36 Hg 0.971 0.546 0.185
37 Br 0.500 0.000 0.500
38 Hg 0.471 0.685 0.046
39 Hg 0.139 0.185 0.214
40 I 0.125 0.250 0.875
41 Br 0.750 0.625 0.375
42 Hg 0.714 0.639 0.185
43 Hg 0.214 0.529 0.575
44 I 0.375 0.625 0.250
45 Hg 0.714 0.075 0.029
46 Hg 0.954 0.815 0.529
47 I 0.250 0.125 0.375
48 Hg 0.454 0.425 0.639
49 Br 0.000 0.000 0.500
50 Hg 0.575 0.546 0.861
51 Hg 0.925 0.639 0.954
52 Br 0.000 0.500 0.500
53 Hg 0.185 0.046 0.971
54 Hg 0.815 0.954 0.029
55 Hg 0.546 0.575 0.361
56 Hg 0.075 0.714 0.529
57 Hg 0.546 0.971 0.685
58 Br 0.625 0.875 0.250
59 Hg 0.786 0.471 0.425
60 Br 0.500 0.000 0.000
61 Hg 0.046 0.185 0.471
62 Hg 0.575 0.029 0.214
63 Br 0.000 0.500 0.000
64 I 0.625 0.375 0.750
65 Hg 0.971 0.425 0.286
66 Hg 0.954 0.139 0.925
67 Hg 0.925 0.286 0.471
68 Hg 0.685 0.214 0.639
69 Hg 0.029 0.575 0.714
70 Hg 0.454 0.029 0.315
71 Hg 0.286 0.925 0.971
72 Hg 0.861 0.815 0.786
73 Hg 0.786 0.315 0.861
74 Hg 0.425 0.971 0.786
75 Hg 0.046 0.861 0.075
76 Hg 0.639 0.925 0.454
77 I 0.750 0.875 0.625
78 I 0.250 0.625 0.875
79 Br 0.625 0.750 0.875
80 Hg 0.815 0.861 0.286

---

Entry 3:
The following is a PBE calculation of a geometry-optimized HgIBr structure, from Alexandria.

Space group: Pnma
DOS at the Fermi energy (states/eV/cell): 0.00

Unit cell a=6.740 b=7.305 c=10.782 alpha=90.00 beta=90.00 gamma=90.00
Positions (direct):
1 Hg 0.250 0.478 0.127
2 Br 0.750 0.000 0.394
3 I 0.750 0.973 0.871
4 Br 0.750 0.500 0.106
5 I 0.750 0.473 0.629
6 Br 0.250 0.500 0.894
7 Hg 0.250 0.978 0.373
8 Hg 0.750 0.022 0.627
9 I 0.250 0.527 0.371
10 Br 0.250 0.000 0.606
11 I 0.250 0.027 0.129
12 Hg 0.750 0.522 0.873

---

Entry 4:
The following is a PBE calculation of a geometry-optimized Hg2I3Br structure, from Alexandria.

Space group: P-1
Offset from the most stable computed form (eV per formula unit): 0.000
DOS at the Fermi energy (states/eV/cell): 0.00

Unit cell a=4.474 b=16.350 c=21.790 alpha=150.89 beta=96.52 gamma=103.85
Positions (direct):
1 Hg 0.876 0.628 0.257
2 I 0.379 0.787 0.277
3 I 0.104 0.034 0.768
4 I 0.674 0.285 0.271
5 Br 0.369 0.466 0.225
6 I 0.896 0.966 0.232
7 Hg 0.695 0.223 0.360
8 Br 0.631 0.534 0.775
9 I 0.621 0.213 0.723
10 Hg 0.305 0.777 0.640
11 Hg 0.124 0.372 0.743
12 I 0.326 0.715 0.729

---

Entry 5:
The following is a PBE calculation of a geometry-optimized In4HgIBr2 structure, from Alexandria.

Space group: P2/m
DOS at the Fermi energy (states/eV/cell): 2.47

Unit cell a=4.235 b=8.427 c=8.150 alpha=76.77 beta=90.00 gamma=90.00
Positions (direct):
1 In 0.000 0.741 0.772
2 Hg 0.500 0.500 0.000
3 I 0.000 0.500 0.500
4 In 0.500 0.761 0.240
5 Br 0.000 0.000 0.000
6 In 0.000 0.259 0.228
7 In 0.500 0.239 0.760
8 Br 0.500 0.000 0.500

---

Entry 6:
The following is a PBE calculation of a geometry-optimized InHgI4Br structure, from Alexandria.

Space group: C2/m

Unit cell a=8.291 b=8.291 c=14.866 alpha=61.03 beta=61.03 gamma=62.79
Positions (direct):
1 I 0.459 0.977 0.253
2 I 0.428 0.428 0.897
3 I 0.295 0.295 0.474
4 I 0.705 0.705 0.526
5 Hg 0.864 0.864 0.140
6 I 0.541 0.023 0.747
7 In 0.349 0.349 0.268
8 In 0.651 0.651 0.732
9 I 0.023 0.541 0.747
10 Br 0.919 0.919 0.927
11 I 0.977 0.459 0.253
12 Br 0.081 0.081 0.073
13 Hg 0.136 0.136 0.860
14 I 0.572 0.572 0.103

---

Entry 7:
The following is a PBE calculation of a geometry-optimized In2HgIBr structure, from Alexandria.

Space group: C2/m

Unit cell a=4.919 b=8.523 c=10.043 alpha=98.95 beta=90.00 gamma=106.77
Positions (direct):
1 Hg 0.399 0.798 0.003
2 Hg 0.601 0.202 0.997
3 In 0.166 0.332 0.823
4 Br 0.675 0.349 0.635
5 I 0.029 0.057 0.270
6 I 0.971 0.943 0.730
7 In 0.340 0.680 0.668
8 In 0.834 0.668 0.177
9 Br 0.325 0.651 0.365
10 In 0.660 0.320 0.332

---

Entry 8:
The following is a PBE calculation of a geometry-optimized In4HgI2Br structure, from Alexandria.

Space group: P2/m
DOS at the Fermi energy (states/eV/cell): 2.13

Unit cell a=4.323 b=8.203 c=8.441 alpha=75.96 beta=90.00 gamma=90.00
Positions (direct):
1 Hg 0.500 0.500 0.000
2 I 0.000 0.000 0.000
3 I 0.500 0.000 0.500
4 In 0.000 0.720 0.766
5 In 0.500 0.730 0.252
6 In 0.500 0.270 0.748
7 Br 0.000 0.500 0.500
8 In 0.000 0.280 0.234

---

| no. | raw formation energy (eV per atom) | magnetization (μB per cell) | total DFT energy (no corrections) (eV per atom) |
| --- | --- | --- | --- |
| 1 | -0.09 | 0.00 | -1.571 |
| 2 | 0.00 | 0.00 | -0.830 |
| 3 | -0.36 | 0.00 | -1.535 |
| 4 | -0.32 | 0.00 | -1.474 |
| 5 | -0.34 | 0.00 | -2.360 |
| 6 | -0.42 | 0.00 | -1.978 |
| 7 | -0.40 | 0.00 | -2.199 |
| 8 | -0.31 | 0.00 | -2.309 |